Record 1
# CdHgBr2

A relaxed structure of CdHgBr2 (PBE, Alexandria).

abc: 3.8914 5.7425 6.3745
angles: 70.46 90.00 90.00
Closest atoms and distances in Å follow each position.
Atoms (fractional coordinates):
Hg  0.5000  0.7155  0.7277  2 Cd 2.97, 2 Br 3.04
Br  0.0000  0.0050  0.9111  1 Cd 2.67
Br  0.5000  0.3549  0.2955  2 Cd 2.72
Cd  0.0000  0.4246  0.5658  3 Br 2.67-2.72, 2 Hg 2.97

## Properties
- Volume: 33.56 Å³ per atom
- Crystal system: monoclinic
- SG: Pm
- ΔE to the lowest computed polymorph: 106 meV/atom
- Formation energy from raw total energies: -2.05 eV/f.u.

***

Record 2
# LiSiOs3

A relaxed structure of LiSiOs3 (PBE, Alexandria).

abc: 4.0885 4.0885 4.0885
angles: 90.00 90.00 90.00
Closest atoms and distances in Å follow each position.
Atoms (fractional coordinates):
Si  0.5000  0.5000  0.5000  12 Os 2.89
Os  0.0000  0.5000  0.0000  2 Li 2.04
Os  0.0000  0.0000  0.5000  2 Li 2.04
Os  0.5000  0.0000  0.0000  2 Li 2.04
Li  0.0000  0.0000  0.0000  6 Os 2.04

## Properties
- Volume: 13.67 Å³ per atom
- Crystal system: cubic
- SG: Pm-3m
- ΔE to the lowest computed polymorph: 261 meV/atom
- Formation energy from raw total energies: 7.09 eV/f.u.

***

Record 3
# Y6ZnIn2

A relaxed structure of Y6ZnIn2 (PBE, Alexandria).

abc: 6.1732 8.7587 9.7439
angles: 90.00 85.22 90.00
Closest atoms and distances in Å follow each position.
Atoms (fractional coordinates):
Y  0.8929  0.9726  0.2111  1 Zn 2.95, 2 In 3.22-3.26
Y  0.8931  0.6721  0.5616  1 Zn 3.00, 3 In 3.09-3.22
Y  0.9109  0.6766  0.9419  1 Zn 2.98, 2 In 3.26-3.29
Y  0.5891  0.1766  0.5581  1 Zn 2.98, 2 In 3.26-3.29
Y  0.6069  0.1721  0.9384  1 Zn 3.00, 3 In 3.09-3.22
Y  0.6071  0.4726  0.2889  1 Zn 2.95, 2 In 3.22-3.26
Y  0.1071  0.0274  0.7889  1 Zn 2.95, 2 In 3.22-3.26
Y  0.1069  0.3279  0.4384  1 Zn 3.00, 3 In 3.09-3.22
Y  0.0891  0.3234  0.0581  1 Zn 2.98, 2 In 3.26-3.29
Y  0.4109  0.8234  0.4419  1 Zn 2.98, 2 In 3.26-3.29
Y  0.3931  0.8279  0.0616  1 Zn 3.00, 3 In 3.09-3.22
Y  0.3929  0.5274  0.7111  1 Zn 2.95, 2 In 3.22-3.26
Zn  0.5000  0.5000  0.0000  6 Y 2.95-3.00
Zn  0.0000  0.0000  0.5000  6 Y 2.95-3.00
In  0.9193  0.3717  0.7497  8 Y 3.09-3.35
In  0.5807  0.8717  0.7503  8 Y 3.09-3.35
In  0.4193  0.1283  0.2497  8 Y 3.09-3.35
In  0.0807  0.6283  0.2503  8 Y 3.09-3.35

## Properties
- Volume: 29.17 Å³ per atom
- Crystal system: monoclinic
- SG: P2_1/c
- Formation enthalpy at 0 K: -0.229 eV per atom

***

Record 4
# LaPmPrCu

A relaxed structure of LaPmPrCu (PBE, Alexandria).

abc: 3.6582 3.6582 8.9305
angles: 90.00 90.00 90.00
Closest atoms and distances in Å follow each position.
Atoms (fractional coordinates):
La  0.5000  0.5000  0.7671  4 Cu 3.17, 1 Pm 3.48
Pm  0.5000  0.5000  0.3777  4 Cu 3.07
Pr  0.0000  0.0000  0.0779  4 Pr 3.66, 4 Pm 3.72, 4 La 3.79
Cu  0.0000  0.0000  0.5620  4 Pm 3.07, 4 La 3.17

## Properties
- Volume: 29.88 Å³ per atom
- Crystal system: tetragonal
- SG: P4mm
- Formation enthalpy at 0 K: -0.060 eV per atom